Crystalline Sm3AuO6 at its relaxed geometry, computed with GGA-PBE.

Cell: 3.745 5.676 7.171 Å, 90.58 102.64 91.13°
Sites, in units of the cell vectors:
Sm 0.609 0.529 0.765
Sm 0.391 0.471 0.235
Sm 0.000 0.000 0.500
Au 0.000 0.000 0.000
O 0.125 0.793 0.792
O 0.482 0.744 0.478
O 0.875 0.207 0.208
O 0.845 0.695 0.114
O 0.155 0.305 0.886
O 0.518 0.256 0.522

## Properties
As for the energy relative to the lowest polymorph listed for this composition: 0 meV per atom. The symmetry is No. 2. The uncorrected formation energy is -2.66 eV/atom. Its crystal system is triclinic. The calculated volume comes out at 14.9 Å³/atom. The density is 8.309 g/cm³. Its final energy is -73.7 eV per cell.